Computed, not measured: ReTc2Os after structural relaxation at the PBE level of DFT.

Properties
Spin magnetization in Bohr magnetons per cell: 0.0
Distance to the lowest polymorph of the same formula in meV per atom: 431

Cell and atoms, written as CIF:
```
data_ReTc2Os
_symmetry_space_group_name_H-M 'P 4/m m m'
_symmetry_Int_Tables_number 123
_symmetry_space_group_name_Hall '-P 4 2'
_cell_length_a 3.208
_cell_length_b 3.208
_cell_length_c 5.772
_cell_angle_alpha 90.00
_cell_angle_beta 90.00
_cell_angle_gamma 90.00
loop_
_atom_site_label
_atom_site_fract_x
_atom_site_fract_y
_atom_site_fract_z
_atom_site_occupancy
Re1 0.000 0.000 0.000 1
Tc1 0.500 0.500 0.247 1
Os1 0.000 0.000 0.500 1
```

Computed, not measured: ReTcOs2 after structural relaxation at the PBE level of DFT.

Properties
Spin magnetization in Bohr magnetons per cell: 0.0
Distance to the lowest polymorph of the same formula in meV per atom: 602

Cell and atoms, written as CIF:
```
data_ReTcOs2
_symmetry_space_group_name_H-M 'P m m m'
_symmetry_Int_Tables_number 47
_symmetry_space_group_name_Hall '-P 2 2'
_cell_length_a 2.845
_cell_length_b 4.563
_cell_length_c 4.579
_cell_angle_alpha 90.00
_cell_angle_beta 90.00
_cell_angle_gamma 90.00
loop_
_atom_site_label
_atom_site_fract_x
_atom_site_fract_y
_atom_site_fract_z
_atom_site_occupancy
Re1 0.000 0.000 0.000 1
Tc1 0.500 0.500 0.000 1
Os1 0.000 0.500 0.500 1
Os2 0.500 0.000 0.500 1
```

Computed, not measured: ReTcOs after structural relaxation at the PBE level of DFT.

Properties
Spin magnetization in Bohr magnetons per cell: 0.0
Distance to the lowest polymorph of the same formula in meV per atom: 123

Cell and atoms, written as CIF:
```
data_ReTcOs
_symmetry_space_group_name_H-M 'I m m 2'
_symmetry_Int_Tables_number 44
_symmetry_space_group_name_Hall 'I 2 -2'
_cell_length_a 2.742
_cell_length_b 3.882
_cell_length_c 8.259
_cell_angle_alpha 90.00
_cell_angle_beta 90.00
_cell_angle_gamma 90.00
loop_
_atom_site_label
_atom_site_fract_x
_atom_site_fract_y
_atom_site_fract_z
_atom_site_occupancy
Re1 0.000 0.000 0.000 1
Tc1 0.000 0.000 0.669 1
Os1 0.000 0.000 0.335 1
```

Computed, not measured: ReTcOs2 after structural relaxation at the PBE level of DFT.

Properties
Spin magnetization in Bohr magnetons per cell: 0.0
Distance to the lowest polymorph of the same formula in meV per atom: 150

Cell and atoms, written as CIF:
```
data_ReTcOs2
_symmetry_space_group_name_H-M 'F 2 2 2'
_symmetry_Int_Tables_number 22
_symmetry_space_group_name_Hall 'F 2 2'
_cell_length_a 5.466
_cell_length_b 5.488
_cell_length_c 7.767
_cell_angle_alpha 90.00
_cell_angle_beta 90.00
_cell_angle_gamma 90.00
loop_
_atom_site_label
_atom_site_fract_x
_atom_site_fract_y
_atom_site_fract_z
_atom_site_occupancy
Re1 0.000 0.000 0.000 1
Tc1 0.250 0.250 0.250 1
Os1 0.000 0.000 0.500 1
Os2 0.250 0.250 0.750 1
```

Computed, not measured: Re2Tc2Os5 after structural relaxation at the PBE level of DFT.

Properties
Spin magnetization in Bohr magnetons per cell: 0.0

Cell and atoms, written as CIF:
```
data_Re2Tc2Os5
_symmetry_space_group_name_H-M 'C 1 2/m 1'
_symmetry_Int_Tables_number 12
_symmetry_space_group_name_Hall '-C 2y'
_cell_length_a 9.036
_cell_length_b 4.318
_cell_length_c 7.283
_cell_angle_alpha 90.00
_cell_angle_beta 105.97
_cell_angle_gamma 90.00
loop_
_atom_site_label
_atom_site_fract_x
_atom_site_fract_y
_atom_site_fract_z
_atom_site_occupancy
Re1 0.226 0.000 0.383 1
Tc1 0.180 0.500 0.945 1
Os1 0.000 0.000 0.000 1
Os2 0.087 0.500 0.261 1
Os3 0.095 0.000 0.685 1
```

Computed, not measured: ReTcOs2 after structural relaxation at the PBE level of DFT.

Properties
Spin magnetization in Bohr magnetons per cell: 0.0
Distance to the lowest polymorph of the same formula in meV per atom: 173

Cell and atoms, written as CIF:
```
data_ReTcOs2
_symmetry_space_group_name_H-M 'P 4 m m'
_symmetry_Int_Tables_number 99
_symmetry_space_group_name_Hall 'P 4 -2'
_cell_length_a 2.736
_cell_length_b 2.736
_cell_length_c 7.814
_cell_angle_alpha 90.00
_cell_angle_beta 90.00
_cell_angle_gamma 90.00
loop_
_atom_site_label
_atom_site_fract_x
_atom_site_fract_y
_atom_site_fract_z
_atom_site_occupancy
Re1 0.000 0.000 0.000 1
Tc1 0.500 0.500 0.267 1
Os1 0.000 0.000 0.504 1
Os2 0.500 0.500 0.761 1
```

Computed, not measured: ReTcOs2 after structural relaxation at the PBE level of DFT.

Properties
Spin magnetization in Bohr magnetons per cell: 0.0
Distance to the lowest polymorph of the same formula in meV per atom: 674

Cell and atoms, written as CIF:
```
data_ReTcOs2
_symmetry_space_group_name_H-M 'F m -3 m'
_symmetry_Int_Tables_number 225
_symmetry_space_group_name_Hall '-F 4 2 3'
_cell_length_a 6.196
_cell_length_b 6.196
_cell_length_c 6.196
_cell_angle_alpha 90.00
_cell_angle_beta 90.00
_cell_angle_gamma 90.00
loop_
_atom_site_label
_atom_site_fract_x
_atom_site_fract_y
_atom_site_fract_z
_atom_site_occupancy
Re1 0.000 0.000 0.000 1
Tc1 0.000 0.000 0.500 1
Os1 0.250 0.250 0.250 1
```

Computed, not measured: ReTcOs after structural relaxation at the PBE level of DFT.

Properties
Spin magnetization in Bohr magnetons per cell: 0.0
Distance to the lowest polymorph of the same formula in meV per atom: 130

Cell and atoms, written as CIF:
```
data_ReTcOs
_symmetry_space_group_name_H-M 'P 1'
_symmetry_Int_Tables_number 1
_symmetry_space_group_name_Hall 'P 1'
_cell_length_a 2.743
_cell_length_b 5.511
_cell_length_c 6.161
_cell_angle_alpha 103.23
_cell_angle_beta 102.80
_cell_angle_gamma 90.12
loop_
_atom_site_label
_atom_site_fract_x
_atom_site_fract_y
_atom_site_fract_z
_atom_site_occupancy
Re1 0.000 0.000 0.000 1
Re2 0.334 0.662 0.665 1
Tc1 0.011 0.486 0.013 1
Tc2 0.678 0.822 0.346 1
Os1 0.342 0.155 0.676 1
Os2 0.669 0.329 0.336 1
```

no.,formation enthalpy at 0 K (eV per formula unit)
1,1.51
2,2.04
3,0.18
4,0.23
5,2.66
6,0.32
7,2.33
8,0.20